# 1
This record from the Alexandria database describes an optimized crystal structure of Dy5Er6In. The functional is PBE.

Lattice parameters (Å, degrees): 4.910 9.258 9.258 106.89 105.38 105.38
Atoms (fractional coordinates):
Dy (0.000, 0.337, 0.663)
Dy (0.500, 0.167, 0.833)
Dy (0.000, 0.663, 0.337)
Dy (0.500, 0.833, 0.167)
Dy (0.500, 0.500, 0.500)
Er (0.256, 0.756, 0.756)
Er (0.246, 0.413, 0.080)
Er (0.246, 0.080, 0.413)
Er (0.744, 0.244, 0.244)
Er (0.754, 0.920, 0.587)
Er (0.754, 0.587, 0.920)
In (0.000, 0.000, 0.000)

## Properties
density of states at the Fermi level: 1.4044 states/eV per atom
final energy: -4.479 eV/atom
formation energy: -0.0523 eV per atom

# 2
This record from the Alexandria database describes an optimized crystal structure of Dy3ErIn4. The functional is PBE.

Lattice parameters (Å, degrees): 3.439 6.828 10.387 109.19 99.53 90.00
Atoms (fractional coordinates):
Dy (0.775, 0.774, 0.549)
Dy (0.000, 0.500, 0.000)
Dy (0.225, 0.226, 0.451)
In (0.374, 0.596, 0.748)
In (0.626, 0.404, 0.252)
In (0.374, 0.152, 0.748)
In (0.626, 0.848, 0.252)
Er (0.500, 0.000, 0.000)

## Properties
polymorph energy (0 for the lowest one): 155 meV/atom
density of states at the Fermi level: 0.7386 states/eV per atom
final energy: -3.971 eV/atom
formation energy: -0.3054 eV per atom

# 3
This record from the Alexandria database describes an optimized crystal structure of Dy5ErIn8. The functional is PBE.

Lattice parameters (Å, degrees): 7.940 7.940 7.940 109.35 109.71 109.35
Atoms (fractional coordinates):
Dy (0.752, 0.630, 0.629)
Dy (0.371, 0.123, 0.001)
Dy (0.999, 0.370, 0.122)
Dy (0.878, 0.877, 0.248)
Dy (0.500, 0.000, 0.500)
In (0.957, 0.083, 0.703)
In (0.620, 0.917, 0.875)
In (0.125, 0.747, 0.542)
In (0.297, 0.254, 0.380)
In (0.795, 0.253, 0.378)
In (0.622, 0.417, 0.875)
In (0.458, 0.583, 0.205)
In (0.125, 0.746, 0.043)
Er (0.250, 0.500, 0.750)

## Properties
density of states at the Fermi level: 0.7929 states/eV per atom
final energy: -3.862 eV/atom
formation energy: -0.3273 eV per atom

# 4
This record from the Alexandria database describes an optimized crystal structure of DyErIn2. The functional is PBE.

Lattice parameters (Å, degrees): 3.495 5.536 5.536 102.77 90.00 90.00
Atoms (fractional coordinates):
Er (0.500, 0.500, 0.500)
Dy (0.500, 0.000, 0.000)
In (0.000, 0.000, 0.500)
In (0.000, 0.500, 0.000)

## Properties
density of states at the Fermi level: 0.5992 states/eV per atom
final energy: -4.116 eV/atom
formation energy: -0.4557 eV per atom

# 5
This record from the Alexandria database describes an optimized crystal structure of Dy4ErIn. The functional is PBE.

Lattice parameters (Å, degrees): 5.531 6.426 10.839 90.00 104.78 90.00
Atoms (fractional coordinates):
Dy (0.753, 0.556, 0.506)
Dy (0.040, 0.753, 0.080)
Dy (0.563, 0.430, 0.126)
Dy (0.247, 0.056, 0.494)
Dy (0.437, 0.930, 0.874)
Dy (0.817, 0.082, 0.633)
Dy (0.183, 0.582, 0.367)
Dy (0.960, 0.253, 0.920)
Er (0.363, 0.428, 0.727)
Er (0.637, 0.928, 0.273)
In (0.104, 0.185, 0.207)
In (0.896, 0.685, 0.793)

## Properties
polymorph energy (0 for the lowest one): 148 meV/atom
density of states at the Fermi level: 1.2174 states/eV per atom
final energy: -4.286 eV/atom
formation energy: -0.0010 eV per atom

# 6
This record from the Alexandria database describes an optimized crystal structure of Dy7Er4In. The functional is PBE.

Lattice parameters (Å, degrees): 6.329 8.382 12.018 65.14 69.01 40.99
Atoms (fractional coordinates):
Dy (0.126, 0.137, 0.727)
Dy (0.500, 0.000, 0.000)
Dy (0.264, 0.452, 0.095)
Dy (0.874, 0.863, 0.273)
Dy (0.642, 0.210, 0.581)
Dy (0.358, 0.790, 0.419)
Dy (0.736, 0.548, 0.905)
In (0.000, 0.000, 0.000)
Er (0.187, 0.292, 0.417)
Er (0.733, 0.383, 0.233)
Er (0.813, 0.708, 0.583)
Er (0.267, 0.617, 0.767)

## Properties
polymorph energy (0 for the lowest one): 0 meV/atom
density of states at the Fermi level: 1.5192 states/eV per atom
final energy: -4.401 eV/atom
formation energy: 0.0327 eV per atom

# 7
This record from the Alexandria database describes an optimized crystal structure of Dy4ErIn3. The functional is PBE.

Lattice parameters (Å, degrees): 3.511 8.842 8.889 119.82 101.39 90.00
Atoms (fractional coordinates):
Dy (0.639, 0.440, 0.278)
Dy (0.639, 0.838, 0.278)
Dy (0.361, 0.560, 0.722)
Dy (0.361, 0.162, 0.722)
Er (0.500, 0.000, 0.000)
In (0.000, 0.500, 0.000)
In (0.184, 0.184, 0.368)
In (0.816, 0.816, 0.632)

## Properties
polymorph energy (0 for the lowest one): 104 meV/atom
density of states at the Fermi level: 0.9761 states/eV per atom
final energy: -4.113 eV/atom
formation energy: -0.2147 eV per atom

# 8
This record from the Alexandria database describes an optimized crystal structure of Dy2ErIn. The functional is PBE.

Lattice parameters (Å, degrees): 3.569 3.569 11.042 80.70 80.70 60.00
Last column: magnetic moment on the atom in μB.
Atoms (fractional coordinates):
Dy (0.079, 0.079, 0.762)  0.11
Dy (0.254, 0.254, 0.237)  0.05
Er (0.500, 0.500, 0.500)  0.22
In (0.666, 0.666, 0.001)  0.00

## Properties
polymorph energy (0 for the lowest one): 121 meV/atom
density of states at the Fermi level: 1.2113 states/eV per atom
final energy: -4.271 eV/atom
formation energy: -0.1443 eV per atom

# 9
This record from the Alexandria database describes an optimized crystal structure of Dy3ErIn. The functional is PBE.

Lattice parameters (Å, degrees): 4.808 4.806 12.717 90.00 79.10 90.00
Atoms (fractional coordinates):
Er (0.474, 0.750, 0.700)
Er (0.174, 0.250, 0.300)
Dy (0.772, 0.250, 0.105)
Dy (0.074, 0.750, 0.500)
Dy (0.274, 0.750, 0.100)
Dy (0.877, 0.750, 0.895)
Dy (0.374, 0.250, 0.900)
Dy (0.574, 0.250, 0.500)
In (0.977, 0.250, 0.695)
In (0.672, 0.750, 0.305)

## Properties
polymorph energy (0 for the lowest one): 0 meV/atom
density of states at the Fermi level: 1.1295 states/eV per atom
final energy: -4.409 eV/atom
formation energy: -0.1873 eV per atom

# 10
This record from the Alexandria database describes an optimized crystal structure of DyEr4In3. The functional is PBE.

Lattice parameters (Å, degrees): 5.295 5.295 9.659 74.09 74.09 60.00
Atoms (fractional coordinates):
Er (0.612, 0.612, 0.165)
Er (0.128, 0.128, 0.615)
Er (0.872, 0.872, 0.385)
Er (0.388, 0.388, 0.835)
In (0.500, 0.500, 0.500)
In (0.734, 0.734, 0.799)
In (0.266, 0.266, 0.201)
Dy (0.000, 0.000, 0.000)

## Properties
polymorph energy (0 for the lowest one): 0 meV/atom
density of states at the Fermi level: 1.1717 states/eV per atom
final energy: -4.191 eV/atom
formation energy: -0.3076 eV per atom

# 11
This record from the Alexandria database describes an optimized crystal structure of Dy2ErIn. The functional is PBE.

Lattice parameters (Å, degrees): 3.560 3.560 9.222 90.00 90.00 90.00
Atoms (fractional coordinates):
Dy (0.000, 0.000, 0.771)
Dy (0.000, 0.000, 0.229)
In (0.500, 0.500, 0.000)
Er (0.500, 0.500, 0.500)

## Properties
polymorph energy (0 for the lowest one): 39 meV/atom
density of states at the Fermi level: 1.1736 states/eV per atom
final energy: -4.353 eV/atom
formation energy: -0.2262 eV per atom

# 12
This record from the Alexandria database describes an optimized crystal structure of DyEr3In2. The functional is PBE.

Lattice parameters (Å, degrees): 3.477 8.889 21.994 90.00 90.00 90.00
Atoms (fractional coordinates):
In (0.250, 0.474, 0.208)
In (0.250, 0.750, 0.457)
In (0.250, 0.250, 0.043)
In (0.750, 0.250, 0.543)
In (0.750, 0.526, 0.792)
In (0.750, 0.750, 0.957)
In (0.750, 0.026, 0.708)
In (0.250, 0.974, 0.292)
Er (0.250, 0.215, 0.804)
Er (0.750, 0.540, 0.076)
Er (0.750, 0.040, 0.424)
Er (0.750, 0.608, 0.564)
Er (0.750, 0.108, 0.936)
Er (0.250, 0.960, 0.576)
Er (0.250, 0.460, 0.924)
Er (0.250, 0.392, 0.436)
Er (0.750, 0.785, 0.196)
Er (0.250, 0.892, 0.064)
Er (0.750, 0.285, 0.304)
Er (0.250, 0.715, 0.696)
Dy (0.250, 0.342, 0.661)
Dy (0.250, 0.842, 0.839)
Dy (0.750, 0.158, 0.161)
Dy (0.750, 0.658, 0.339)

## Properties
polymorph energy (0 for the lowest one): 0 meV/atom
density of states at the Fermi level: 1.0747 states/eV per atom
final energy: -4.233 eV/atom
formation energy: -0.2722 eV per atom

# 13
This record from the Alexandria database describes an optimized crystal structure of Dy2Er3In3. The functional is PBE.

Lattice parameters (Å, degrees): 3.741 5.299 11.546 103.27 99.32 90.00
Atoms (fractional coordinates):
In (0.000, 0.500, 0.000)
In (0.882, 0.882, 0.763)
In (0.118, 0.118, 0.237)
Dy (0.735, 0.235, 0.470)
Dy (0.265, 0.765, 0.530)
Er (0.624, 0.624, 0.249)
Er (0.500, 0.000, 0.000)
Er (0.376, 0.376, 0.751)

## Properties
polymorph energy (0 for the lowest one): 0 meV/atom
density of states at the Fermi level: 0.7164 states/eV per atom
final energy: -4.239 eV/atom
formation energy: -0.3502 eV per atom

# 14
This record from the Alexandria database describes an optimized crystal structure of DyEr3In4. The functional is PBE.

Lattice parameters (Å, degrees): 3.417 6.812 10.346 109.23 99.51 90.00
Atoms (fractional coordinates):
Er (0.775, 0.774, 0.549)
Er (0.225, 0.226, 0.451)
Er (0.000, 0.500, 0.000)
In (0.373, 0.152, 0.746)
In (0.373, 0.594, 0.746)
In (0.627, 0.406, 0.254)
In (0.627, 0.848, 0.254)
Dy (0.500, 0.000, 0.000)

## Properties
polymorph energy (0 for the lowest one): 150 meV/atom
density of states at the Fermi level: 0.7056 states/eV per atom
final energy: -3.951 eV/atom
formation energy: -0.2959 eV per atom

# 15
This record from the Alexandria database describes an optimized crystal structure of Dy6ErIn. The functional is PBE.

Lattice parameters (Å, degrees): 4.893 4.893 9.977 90.00 90.00 90.00
Atoms (fractional coordinates):
Dy (0.000, 0.500, 0.255)
Dy (0.500, 0.000, 0.745)
Dy (0.000, 0.500, 0.745)
Dy (0.500, 0.500, 0.500)
Dy (0.500, 0.000, 0.255)
Dy (0.500, 0.500, 0.000)
In (0.000, 0.000, 0.500)
Er (0.000, 0.000, 0.000)

## Properties
polymorph energy (0 for the lowest one): 0 meV/atom
density of states at the Fermi level: 1.1180 states/eV per atom
final energy: -4.481 eV/atom
formation energy: -0.1172 eV per atom

# 16
This record from the Alexandria database describes an optimized crystal structure of Dy2ErIn. The functional is PBE.

Lattice parameters (Å, degrees): 5.430 5.430 5.430 60.00 60.00 60.00
Last column: magnetic moment on the atom in μB.
Atoms (fractional coordinates):
Dy (0.750, 0.750, 0.750)  0.22
Dy (0.250, 0.250, 0.250)  0.22
In (0.500, 0.500, 0.500)  0.00
Er (0.000, 0.000, 0.000)  0.26

## Properties
polymorph energy (0 for the lowest one): 135 meV/atom
density of states at the Fermi level: 1.6575 states/eV per atom
final energy: -4.256 eV/atom
formation energy: -0.1299 eV per atom

# 17
This record from the Alexandria database describes an optimized crystal structure of Dy6Er2In. The functional is PBE.

Lattice parameters (Å, degrees): 8.554 8.554 9.039 80.95 80.95 59.30
Atoms (fractional coordinates):
Dy (0.892, 0.275, 0.377)
Dy (0.629, 0.087, 0.527)
Dy (0.725, 0.108, 0.123)
Dy (0.667, 0.562, 0.670)
Dy (0.438, 0.333, 0.830)
Dy (0.562, 0.667, 0.170)
Dy (0.913, 0.371, 0.973)
Dy (0.087, 0.629, 0.027)
Dy (0.371, 0.913, 0.473)
Dy (0.275, 0.892, 0.877)
Dy (0.108, 0.725, 0.623)
Dy (0.333, 0.438, 0.330)
Er (0.306, 0.137, 0.140)
Er (0.137, 0.306, 0.640)
Er (0.863, 0.694, 0.360)
Er (0.694, 0.863, 0.860)
In (0.121, 0.879, 0.250)
In (0.879, 0.121, 0.750)

## Properties
polymorph energy (0 for the lowest one): 51 meV/atom
density of states at the Fermi level: 1.4612 states/eV per atom
final energy: -4.346 eV/atom
formation energy: 0.0399 eV per atom

# 18
This record from the Alexandria database describes an optimized crystal structure of Dy3Er3In2. The functional is PBE.

Lattice parameters (Å, degrees): 5.155 6.410 15.683 90.00 90.00 113.71
Atoms (fractional coordinates):
Dy (0.643, 0.286, 0.469)
Dy (0.643, 0.286, 0.031)
Dy (0.357, 0.714, 0.969)
Dy (0.357, 0.714, 0.531)
Dy (0.534, 0.067, 0.750)
Dy (0.466, 0.933, 0.250)
In (0.223, 0.447, 0.356)
In (0.777, 0.553, 0.856)
In (0.777, 0.553, 0.644)
In (0.223, 0.447, 0.144)
Er (0.959, 0.918, 0.397)
Er (0.959, 0.918, 0.103)
Er (0.041, 0.082, 0.897)
Er (0.251, 0.503, 0.750)
Er (0.041, 0.082, 0.603)
Er (0.749, 0.497, 0.250)

## Properties
polymorph energy (0 for the lowest one): 113 meV/atom
density of states at the Fermi level: 1.0944 states/eV per atom
final energy: -4.273 eV/atom
formation energy: -0.1511 eV per atom

# 19
This record from the Alexandria database describes an optimized crystal structure of Dy7ErIn4. The functional is PBE.

Lattice parameters (Å, degrees): 5.665 9.202 7.796 74.47 68.69 72.07
Atoms (fractional coordinates):
Dy (0.064, 0.602, 0.269)
Dy (0.790, 0.879, 0.541)
Dy (0.936, 0.398, 0.731)
Dy (0.275, 0.668, 0.782)
Dy (0.725, 0.332, 0.218)
Dy (0.210, 0.121, 0.459)
Dy (0.500, 0.000, 0.000)
In (0.319, 0.335, 0.027)
In (0.441, 0.751, 0.366)
In (0.681, 0.665, 0.973)
In (0.559, 0.249, 0.634)
Er (0.000, 0.000, 0.000)

## Properties
density of states at the Fermi level: 1.1234 states/eV per atom
final energy: -4.067 eV/atom
formation energy: -0.0897 eV per atom

# 20
This record from the Alexandria database describes an optimized crystal structure of DyErIn6. The functional is PBE.

Lattice parameters (Å, degrees): 4.628 4.628 9.259 90.00 90.00 90.00
Atoms (fractional coordinates):
In (0.000, 0.500, 0.749)
In (0.500, 0.000, 0.251)
In (0.500, 0.500, 0.500)
In (0.000, 0.500, 0.251)
In (0.500, 0.500, 0.000)
In (0.500, 0.000, 0.749)
Er (0.000, 0.000, 0.500)
Dy (0.000, 0.000, 0.000)

## Properties
density of states at the Fermi level: 0.3694 states/eV per atom
final energy: -3.599 eV/atom
formation energy: -0.3994 eV per atom

# 21
This record from the Alexandria database describes an optimized crystal structure of DyEr6In3. The functional is PBE.

Lattice parameters (Å, degrees): 7.608 9.217 9.217 111.15 90.00 90.00
Atoms (fractional coordinates):
In (0.820, 0.555, 0.445)
In (0.931, 0.719, 0.987)
In (0.431, 0.987, 0.719)
In (0.320, 0.445, 0.555)
In (0.931, 0.013, 0.281)
In (0.431, 0.281, 0.013)
Er (0.605, 0.700, 0.766)
Er (0.794, 0.924, 0.550)
Er (0.294, 0.076, 0.450)
Er (0.294, 0.953, 0.047)
Er (0.105, 0.766, 0.700)
Er (0.294, 0.550, 0.924)
Er (0.605, 0.234, 0.300)
Er (0.794, 0.450, 0.076)
Er (0.105, 0.300, 0.234)
Er (0.632, 0.300, 0.700)
Er (0.132, 0.700, 0.300)
Er (0.794, 0.047, 0.953)
Dy (0.081, 0.208, 0.792)
Dy (0.581, 0.792, 0.208)

## Properties
density of states at the Fermi level: 1.2478 states/eV per atom
final energy: -4.143 eV/atom
formation energy: -0.1231 eV per atom

# 22
This record from the Alexandria database describes an optimized crystal structure of Dy4ErIn2. The functional is PBE.

Lattice parameters (Å, degrees): 10.706 6.873 7.287 127.74 90.00 90.00
Atoms (fractional coordinates):
In (0.500, 0.272, 0.467)
In (0.500, 0.728, 0.533)
In (0.000, 0.772, 0.467)
In (0.000, 0.228, 0.533)
Er (0.000, 0.000, 0.000)
Er (0.500, 0.500, 0.000)
Dy (0.218, 0.499, 0.498)
Dy (0.718, 0.001, 0.502)
Dy (0.782, 0.501, 0.502)
Dy (0.834, 0.501, 0.001)
Dy (0.166, 0.499, 0.999)
Dy (0.334, 0.999, 0.999)
Dy (0.282, 0.999, 0.498)
Dy (0.666, 0.001, 0.001)

## Properties
polymorph energy (0 for the lowest one): 60 meV/atom
density of states at the Fermi level: 1.2007 states/eV per atom
final energy: -4.166 eV/atom
formation energy: -0.1023 eV per atom